The following is a GGA-PBE calculation of a relaxed structure of PPd2Se, from Alexandria.

Calculated values
Total moment = 0.000 μB per atom
Space-group type = No. 225
E_form (uncorrected) = -0.071 eV per atom

Lattice parameters (Å, degrees): 4.475 4.475 4.475 60.00 60.00 60.00
Positions (direct):
1 P 0.000 0.000 0.000
2 Se 0.500 0.500 0.500
3 Pd 0.250 0.250 0.250
4 Pd 0.750 0.750 0.750